(1)
# TaTl2Mo (PBE, optimized geometry)
data_TaTl2Mo
_symmetry_space_group_name_H-M 'F m -3 m'
_symmetry_Int_Tables_number 225
_symmetry_space_group_name_Hall '-F 4 2 3'
_cell_length_a 6.7898
_cell_length_b 6.7898
_cell_length_c 6.7898
_cell_angle_alpha 90.00
_cell_angle_beta 90.00
_cell_angle_gamma 90.00
loop_
_atom_site_label
_atom_site_fract_x
_atom_site_fract_y
_atom_site_fract_z
Ta1 0.0000 0.0000 0.0000
Tl1 0.2500 0.2500 0.2500
Mo1 0.0000 0.0000 0.5000
# Energy relative to the lowest polymorph listed for this composition in meV per atom: 483.8

(2)
# LiSe3 (PBE, optimized geometry)
data_LiSe3
_symmetry_space_group_name_H-M 'P n m a'
_symmetry_Int_Tables_number 62
_cell_length_a 6.5753
_cell_length_b 6.9894
_cell_length_c 8.0539
_cell_angle_alpha 90.00
_cell_angle_beta 90.00
_cell_angle_gamma 90.00
loop_
_symmetry_equiv_pos_as_xyz
'x,y,z'
'-x,-y,-z'
'-x+1/2,-y,z+1/2'
'x+1/2,y,-z+1/2'
'x+1/2,-y+1/2,-z+1/2'
'-x+1/2,y+1/2,z+1/2'
'-x,y+1/2,-z'
'x,-y+1/2,z'
loop_
_atom_site_label
_atom_site_fract_x
_atom_site_fract_y
_atom_site_fract_z
Li1 0.1303 0.2500 0.0833
Se1 0.0215 0.2500 0.6759
Se2 0.2289 0.5092 0.8231
# E_form (uncorrected) in eV per atom: -0.27
# Energy relative to the lowest polymorph listed for this composition in meV per atom: 169.9

(3)
# Sm7Tl2Hg (PBE, optimized geometry)
data_Sm7Tl2Hg
_symmetry_space_group_name_H-M 'P 3 m 1'
_symmetry_Int_Tables_number 156
_cell_length_a 5.3571
_cell_length_b 5.3571
_cell_length_c 13.0501
_cell_angle_alpha 90.00
_cell_angle_beta 90.00
_cell_angle_gamma 120.00
loop_
_symmetry_equiv_pos_as_xyz
'x,y,z'
'-y,x-y,z'
'-x+y,-x,z'
'-y,-x,z'
'-x+y,y,z'
'x,x-y,z'
loop_
_atom_site_label
_atom_site_fract_x
_atom_site_fract_y
_atom_site_fract_z
Sm1 0.0000 0.0000 0.0000
Sm2 0.0000 0.0000 0.2604
Sm3 0.0000 0.0000 0.7349
Sm4 0.3333 0.6667 0.4085
Sm5 0.3333 0.6667 0.8846
Sm6 0.6667 0.3333 0.1295
Sm7 0.6667 0.3333 0.5824
Tl1 0.0000 0.0000 0.4973
Tl2 0.6667 0.3333 0.8446
Hg1 0.3333 0.6667 0.1433
# VASP energy in eV per atom: -3.89

(4)
# Y4ThN5 (PBE, optimized geometry)
data_Y4ThN5
_symmetry_space_group_name_H-M 'I 4/m'
_symmetry_Int_Tables_number 87
_symmetry_space_group_name_Hall '-I 4'
_cell_length_a 7.8741
_cell_length_b 7.8741
_cell_length_c 4.9814
_cell_angle_alpha 90.00
_cell_angle_beta 90.00
_cell_angle_gamma 90.00
loop_
_atom_site_label
_atom_site_fract_x
_atom_site_fract_y
_atom_site_fract_z
Y1 0.0989 0.3034 0.0000
Th1 0.0000 0.0000 0.5000
N1 0.0000 0.0000 0.0000
N2 0.0985 0.3004 0.5000
# E_form (uncorrected) in eV per atom: -1.68

(5)
# Zn2TcMo (PBE, optimized geometry)
data_Zn2TcMo
_symmetry_space_group_name_H-M 'C m m m'
_symmetry_Int_Tables_number 65
_symmetry_space_group_name_Hall '-C 2 2'
_cell_length_a 3.2647
_cell_length_b 4.1503
_cell_length_c 8.6919
_cell_angle_alpha 90.00
_cell_angle_beta 90.00
_cell_angle_gamma 90.00
loop_
_atom_site_label
_atom_site_fract_x
_atom_site_fract_y
_atom_site_fract_z
Zn1 0.0000 0.0000 0.2474
Tc1 0.0000 0.5000 0.0000
Mo1 0.0000 0.5000 0.5000
# Energy relative to the lowest polymorph listed for this composition in meV per atom: 116.8

(6)
# K4Nd3SbO8 (PBE, optimized geometry)
data_K4Nd3SbO8
_symmetry_space_group_name_H-M 'R -3 m'
_symmetry_Int_Tables_number 166
_symmetry_space_group_name_Hall '-R 3 2"'
_cell_length_a 7.2332
_cell_length_b 7.2332
_cell_length_c 18.8945
_cell_angle_alpha 90.00
_cell_angle_beta 90.00
_cell_angle_gamma 120.00
loop_
_atom_site_label
_atom_site_fract_x
_atom_site_fract_y
_atom_site_fract_z
K1 0.0000 0.0000 0.0000
K2 0.0000 0.5000 0.0000
Nd1 0.0000 0.5000 0.5000
Sb1 0.0000 0.0000 0.5000
O1 0.0000 0.0000 0.2303
O2 0.0023 0.5011 0.2310
# E_form (uncorrected) in eV per atom: -2.27

(7)
# TbSn2Sb (PBE, optimized geometry)
data_TbSn2Sb
_symmetry_space_group_name_H-M 'P 4/m m m'
_symmetry_Int_Tables_number 123
_symmetry_space_group_name_Hall '-P 4 2'
_cell_length_a 4.5517
_cell_length_b 4.5517
_cell_length_c 5.1619
_cell_angle_alpha 90.00
_cell_angle_beta 90.00
_cell_angle_gamma 90.00
loop_
_atom_site_label
_atom_site_fract_x
_atom_site_fract_y
_atom_site_fract_z
Tb1 0.0000 0.0000 0.0000
Sn1 0.0000 0.5000 0.5000
Sb1 0.5000 0.5000 0.0000
# E_form (uncorrected) in eV per atom: -0.43
# Energy relative to the lowest polymorph listed for this composition in meV per atom: 0.0

(8)
# Tl2TcPt2 (PBE, optimized geometry)
data_Tl2TcPt2
_symmetry_space_group_name_H-M 'I 4/m m m'
_symmetry_Int_Tables_number 139
_symmetry_space_group_name_Hall '-I 4 2'
_cell_length_a 3.7078
_cell_length_b 3.7078
_cell_length_c 15.1391
_cell_angle_alpha 90.00
_cell_angle_beta 90.00
_cell_angle_gamma 90.00
loop_
_atom_site_label
_atom_site_fract_x
_atom_site_fract_y
_atom_site_fract_z
Tl1 0.0000 0.0000 0.1030
Tc1 0.0000 0.0000 0.5000
Pt1 0.0000 0.5000 0.2500
# Energy relative to the lowest polymorph listed for this composition in meV per atom: 42.6

| no. | spin magnetization (μB/atom) |
| --- | --- |
| 1 | 0.00 |
| 2 | 0.00 |
| 3 | 0.12 |
| 4 | 0.00 |
| 5 | 0.00 |
| 6 | 0.00 |
| 7 | 0.00 |
| 8 | 0.39 |